LaErGeSe after structural relaxation, computed with PBE. Values from VASP.

Values from the calculation:
As for the spin magnetization: 0.00 μB/f.u. For the final energy, the calculation gives -5.79 eV/atom.

```
&SYSTEM
  ibrav = 0, nat = 4, ntyp = 4
/
ATOMIC_SPECIES
La 138.91 La.upf
Er 167.26 Er.upf
Ge 72.64 Ge.upf
Se 78.96 Se.upf
CELL_PARAMETERS angstrom
2.122 1.225 6.948
-2.122 1.225 6.948
0.000 -2.451 6.948
ATOMIC_POSITIONS angstrom
La 0.000 0.000 0.000
Er 0.000 0.000 10.584
Ge 0.000 0.000 5.193
Se 0.000 0.000 15.840
```

=====

In6Pd12Pb after structural relaxation, computed with PBE. Values from VASP.

Values from the calculation:
As for the spin magnetization: 0.00 μB/f.u. For the final energy, the calculation gives -4.69 eV/atom. The formation energy is -0.35 eV per atom.

```
&SYSTEM
  ibrav = 0, nat = 19, ntyp = 3
/
ATOMIC_SPECIES
In 114.82 In.upf
Pd 106.42 Pd.upf
Pb 207.20 Pb.upf
CELL_PARAMETERS angstrom
6.016 3.473 2.816
-6.016 3.473 2.816
0.000 -6.947 2.816
ATOMIC_POSITIONS angstrom
In -1.634 -1.826 1.991
In -0.764 2.328 1.991
In 2.399 -0.502 1.991
In -2.399 0.502 6.455
In 0.764 -2.328 6.455
In 1.634 1.826 6.455
Pd -5.312 1.043 3.531
Pd -3.559 -4.079 4.916
Pd -2.597 0.545 3.565
Pd 1.753 -5.122 3.531
Pd -1.770 -1.977 4.882
Pd 0.827 -2.522 3.565
Pd -0.827 2.522 4.882
Pd 1.770 1.977 3.565
Pd -1.753 5.122 4.916
Pd 2.597 -0.545 4.882
Pd 3.559 4.079 3.531
Pd 5.312 -1.043 4.916
Pb 0.000 0.000 4.223
```

=====

CdOs after structural relaxation, computed with PBE. Values from VASP.

Values from the calculation:
As for the spin magnetization: 0.61 μB/f.u. For the final energy, the calculation gives -4.49 eV/atom. The formation energy is 1.58 eV per atom.

```
&SYSTEM
  ibrav = 0, nat = 8, ntyp = 2
/
ATOMIC_SPECIES
Cd 112.41 Cd.upf
Os 190.23 Os.upf
CELL_PARAMETERS angstrom
-4.155 4.155 4.155
4.155 -4.155 4.155
4.155 4.155 -4.155
ATOMIC_POSITIONS angstrom
Cd 2.433 2.433 -2.433
Cd 2.433 -2.433 2.433
Cd 1.723 1.723 1.723
Cd -2.433 2.433 2.433
Os 0.880 0.880 -0.880
Os 0.880 -0.880 0.880
Os -0.880 0.880 0.880
Os 3.275 3.275 3.275
```

=====

LaNdAuSe after structural relaxation, computed with PBE. Values from VASP.

Values from the calculation:
As for the spin magnetization: 0.00 μB/f.u. For the final energy, the calculation gives -5.40 eV/atom.

```
&SYSTEM
  ibrav = 0, nat = 4, ntyp = 4
/
ATOMIC_SPECIES
La 138.91 La.upf
Nd 144.24 Nd.upf
Au 196.97 Au.upf
Se 78.96 Se.upf
CELL_PARAMETERS angstrom
4.289 0.000 0.000
0.000 4.289 0.000
0.000 0.000 6.264
ATOMIC_POSITIONS angstrom
La 0.000 0.000 0.000
Nd 2.145 2.145 3.132
Au 2.145 2.145 0.000
Se 0.000 0.000 3.132
```

=====

CuRu2Pb after structural relaxation, computed with PBE. Values from VASP.

Values from the calculation:
As for the spin magnetization: 0.01 μB/f.u. For the final energy, the calculation gives -5.92 eV/atom. The formation energy is 0.67 eV per atom.

```
&SYSTEM
  ibrav = 0, nat = 8, ntyp = 3
/
ATOMIC_SPECIES
Cu 63.55 Cu.upf
Ru 101.07 Ru.upf
Pb 207.20 Pb.upf
CELL_PARAMETERS angstrom
-1.989 1.989 9.254
1.989 -1.989 9.254
1.989 1.989 -9.254
ATOMIC_POSITIONS angstrom
Cu 0.000 0.000 0.000
Cu 0.000 1.989 4.627
Ru 2.983 0.659 -2.313
Ru 0.659 0.994 2.313
Ru -0.994 1.329 6.940
Ru 1.329 0.994 11.567
Pb 1.989 0.000 4.627
Pb 0.000 0.000 9.254
```

=====

MgZnGa4 after structural relaxation, computed with PBE. Values from VASP.

Values from the calculation:
As for the spin magnetization: 0.00 μB/f.u. The energy above the lowest structure with this stoichiometry comes out at 0.0 meV per atom. For the final energy, the calculation gives -2.51 eV/atom. The formation energy is -0.02 eV per atom.

```
&SYSTEM
  ibrav = 0, nat = 12, ntyp = 3
/
ATOMIC_SPECIES
Mg 24.30 Mg.upf
Zn 65.41 Zn.upf
Ga 69.72 Ga.upf
CELL_PARAMETERS angstrom
4.980 0.000 0.000
-0.107 5.568 0.000
-0.735 -2.349 8.010
ATOMIC_POSITIONS angstrom
Mg 1.011 1.471 2.009
Mg 3.128 1.748 6.001
Zn 1.022 4.274 1.994
Zn 3.117 -1.055 6.015
Ga 0.719 0.284 4.766
Ga 0.434 3.355 7.274
Ga 0.477 0.578 7.465
Ga 0.867 3.111 4.534
Ga 3.272 0.109 3.476
Ga 3.661 2.641 0.545
Ga 3.705 -0.135 0.736
Ga 3.420 2.936 3.243
```